10
Lattice="6.026 -3.595 0.000 6.026 3.595 0.000 -3.809 0.000 5.656" Properties=species:S:1:pos:R:3 comment="Na3FeCl6, relaxed, DFT GGA-PBE" magnetic_moment_mub_per_fu=4.99 de_polymorph_mev_per_atom=0 raw_formation_energy_mev_per_atom=-1339 energy_ev_per_fu=-36.89 volume_a3_per_atom=24.51 pbc="T T T"
Na 0.000 0.000 0.000
Na 0.359 0.000 3.980
Na 7.884 0.000 1.676
Fe 4.122 0.000 2.828
Cl 2.656 1.703 3.710
Cl 2.852 0.000 0.778
Cl 5.587 1.703 1.945
Cl 2.656 -1.703 3.710
Cl 5.392 0.000 4.877
Cl 5.587 -1.703 1.945

4
Lattice="4.316 -1.591 0.000 4.316 1.591 0.000 -0.892 0.000 5.724" Properties=species:S:1:pos:R:3 comment="SrCr2Si, relaxed, DFT GGA-PBE" magnetic_moment_mub_per_fu=0.00 raw_formation_energy_mev_per_atom=390 energy_ev_per_fu=-24.79 volume_a3_per_atom=19.65 pbc="T T T"
Sr 0.000 0.000 0.000
Cr 1.439 0.000 3.535
Cr 6.301 0.000 2.188
Si 3.870 0.000 2.862

4
Lattice="3.323 0.000 0.000 0.000 3.323 0.000 0.000 0.000 9.396" Properties=species:S:1:pos:R:3 comment="NaHg2Sb, relaxed, DFT GGA-PBE" magnetic_moment_mub_per_fu=0.00 raw_formation_energy_mev_per_atom=-105 energy_ev_per_fu=-6.47 volume_a3_per_atom=25.93 pbc="T T T"
Na 0.000 0.000 0.000
Hg 1.661 1.661 2.204
Hg 1.661 1.661 7.191
Sb 0.000 0.000 4.698